Compound: LiCuPt2
Source: Alexandria
Functional: PBE
Structure: relaxed

The total magnetic moment is 0.0 μB/f.u. The formation enthalpy at 0 K comes out at -0.294 eV per atom. The density of states at the Fermi level is 2.96 states/eV per cell. As for the polymorph energy (0 for the lowest one): 0.1124 eV per atom. Its volume is 53.7 Å³ per cell.

The space group is P4/mmm (No. 123) and the conventional cell measures 2.993, 2.993 and 5.995 Å, with angles of 90.00, 90.00 and 90.00 degrees. The inequivalent atoms are Li at (0.000, 0.000, 0.000), Cu at (0.000, 0.000, 0.500) and Pt at (0.500, 0.500, 0.243).


Compound: LiCuPt2
Source: Alexandria
Functional: PBE
Structure: relaxed

The total magnetic moment is 0.0 μB/f.u. The formation enthalpy at 0 K comes out at -0.369 eV per atom. The density of states at the Fermi level is 12.62 states/eV per cell. As for the polymorph energy (0 for the lowest one): 0.0366 eV per atom. Its volume is 225.4 Å³ per cell.

The space group is Imma (No. 74) and the conventional cell measures 5.399, 7.864 and 5.309 Å, with angles of 90.00, 90.00 and 90.00 degrees. The inequivalent atoms are Li at (0.250, 0.250, 0.250), Cu at (0.000, 0.000, 0.000), Pt at (0.000, 0.000, 0.500) and Pt at (0.250, 0.250, 0.750).


Compound: LiCuPt2
Source: Alexandria
Functional: PBE
Structure: relaxed

The total magnetic moment is 0.0 μB/f.u. The formation enthalpy at 0 K comes out at -0.354 eV per atom. The density of states at the Fermi level is 3.52 states/eV per cell. As for the polymorph energy (0 for the lowest one): 0.0518 eV per atom. Its volume is 55.4 Å³ per cell.

The space group is P4/mmm (No. 123) and the conventional cell measures 3.862, 3.862 and 3.712 Å, with angles of 90.00, 90.00 and 90.00 degrees. The inequivalent atoms are Li at (0.000, 0.000, 0.000), Cu at (0.500, 0.500, 0.000) and Pt at (0.000, 0.500, 0.500).


Compound: LiCuPt2
Source: Alexandria
Functional: PBE
Structure: relaxed

The total magnetic moment is 0.0 μB/f.u. The formation enthalpy at 0 K comes out at -0.161 eV per atom. The density of states at the Fermi level is 3.05 states/eV per cell. As for the polymorph energy (0 for the lowest one): 0.2448 eV per atom. Its volume is 116.3 Å³ per cell.

The space group is Cmm2 (No. 35) and the conventional cell measures 2.748, 4.621 and 9.161 Å, with angles of 90.00, 90.00 and 90.00 degrees. The inequivalent atoms are Li at (0.000, 0.000, 0.000), Cu at (0.000, 0.500, 0.242), Pt at (0.000, 0.000, 0.484) and Pt at (0.000, 0.500, 0.767).


Compound: LiCu4Pt
Source: Alexandria
Functional: PBE
Structure: relaxed

The total magnetic moment is 0.0 μB/f.u. The formation enthalpy at 0 K comes out at -0.119 eV per atom. The density of states at the Fermi level is 3.86 states/eV per cell. As for the polymorph energy (0 for the lowest one): 0.0688 eV per atom. Its volume is 315.1 Å³ per cell.

The space group is F-43m (No. 216) and the conventional cell measures 6.805, 6.805 and 6.805 Å, with angles of 90.00, 90.00 and 90.00 degrees. The inequivalent atoms are Li at (0.000, 0.000, 0.000), Cu at (0.125, 0.125, 0.375) and Pt at (0.250, 0.250, 0.750).


Compound: LiCuPt
Source: Alexandria
Functional: PBE
Structure: relaxed

The total magnetic moment is 0.0 μB/f.u. The formation enthalpy at 0 K comes out at -0.354 eV per atom. The density of states at the Fermi level is 4.75 states/eV per cell. As for the polymorph energy (0 for the lowest one): 0.0190 eV per atom. Its volume is 162.5 Å³ per cell.

The space group is C2 (No. 5) and the conventional cell measures 4.712, 8.035 and 4.607 Å, with angles of 90.00, 111.27 and 90.00 degrees. The inequivalent atoms are Li at (0.000, 0.000, 0.000), Li at (0.000, 0.332, 0.000), Cu at (0.000, 0.502, 0.500), Cu at (0.000, 0.666, 0.000), Pt at (0.000, 0.167, 0.500) and Pt at (0.000, 0.831, 0.500).


Compound: LiCu4Pt
Source: Alexandria
Functional: PBE
Structure: relaxed

The total magnetic moment is 0.0 μB/f.u. The formation enthalpy at 0 K comes out at -0.188 eV per atom. The density of states at the Fermi level is 3.66 states/eV per cell. As for the polymorph energy (0 for the lowest one): 0.0000 eV per atom. Its volume is 150.7 Å³ per cell.

The space group is Cmmm (No. 65) and the conventional cell measures 3.677, 11.063 and 3.705 Å, with angles of 90.00, 90.00 and 90.00 degrees. The inequivalent atoms are Li at (0.000, 0.000, 0.000), Cu at (0.000, 0.171, 0.500), Cu at (0.000, 0.330, 0.000) and Pt at (0.000, 0.500, 0.500).


Compound: LiCuPt
Source: Alexandria
Functional: PBE
Structure: relaxed

The total magnetic moment is 0.0 μB/f.u. The formation enthalpy at 0 K comes out at -0.327 eV per atom. The density of states at the Fermi level is 2.23 states/eV per cell. As for the polymorph energy (0 for the lowest one): 0.0459 eV per atom. Its volume is 81.2 Å³ per cell.

The space group is Imm2 (No. 44) and the conventional cell measures 2.697, 3.869 and 7.779 Å, with angles of 90.00, 90.00 and 90.00 degrees. The inequivalent atoms are Li at (0.000, 0.000, 0.000), Cu at (0.000, 0.000, 0.326) and Pt at (0.000, 0.000, 0.667).


Compound: LiCuPt
Source: Alexandria
Functional: PBE
Structure: relaxed

The total magnetic moment is 0.0 μB/f.u. The formation enthalpy at 0 K comes out at -0.357 eV per atom. The density of states at the Fermi level is 4.04 states/eV per cell. As for the polymorph energy (0 for the lowest one): 0.0158 eV per atom. Its volume is 162.5 Å³ per cell.

The space group is C2 (No. 5) and the conventional cell measures 8.044, 4.725 and 5.029 Å, with angles of 90.00, 121.77 and 90.00 degrees. The inequivalent atoms are Li at (0.164, 0.000, 0.498), Cu at (0.000, 0.496, 0.500), Cu at (0.000, 0.670, 0.000) and Pt at (0.170, 0.175, 0.005).


Compound: LiCuPt2
Source: Alexandria
Functional: PBE
Structure: relaxed

The total magnetic moment is 0.0 μB/f.u. The formation enthalpy at 0 K comes out at -0.299 eV per atom. The density of states at the Fermi level is 3.18 states/eV per cell. As for the polymorph energy (0 for the lowest one): 0.1073 eV per atom. Its volume is 55.1 Å³ per cell.

The space group is Pm (No. 6) and the conventional cell measures 2.685, 4.152 and 5.112 Å, with angles of 90.00, 105.02 and 90.00 degrees. The inequivalent atoms are Li at (0.000, 0.000, 0.000), Cu at (0.862, 0.500, 0.736), Pt at (0.256, 0.000, 0.518) and Pt at (0.602, 0.500, 0.210).


Compound: Li5CuPt
Source: Alexandria
Functional: PBE
Structure: relaxed

The total magnetic moment is 0.0 μB/f.u. The formation enthalpy at 0 K comes out at -0.146 eV per atom. The density of states at the Fermi level is 3.54 states/eV per cell. As for the polymorph energy (0 for the lowest one): 0.0230 eV per atom. Its volume is 110.2 Å³ per cell.

The space group is P4/mmm (No. 123) and the conventional cell measures 4.116, 4.116 and 6.505 Å, with angles of 90.00, 90.00 and 90.00 degrees. The inequivalent atoms are Li at (0.000, 0.000, 0.000), Li at (0.000, 0.500, 0.262), Cu at (0.000, 0.000, 0.500) and Pt at (0.500, 0.500, 0.000).


Compound: LiCu3Pt
Source: Alexandria
Functional: PBE
Structure: relaxed

The total magnetic moment is 0.0 μB/f.u. The formation enthalpy at 0 K comes out at -0.175 eV per atom. The density of states at the Fermi level is 5.08 states/eV per cell. As for the polymorph energy (0 for the lowest one): 0.0000 eV per atom. Its volume is 257.5 Å³ per cell.

The space group is P2_1/c (No. 14) and the conventional cell measures 6.636, 4.463 and 9.035 Å, with angles of 90.00, 105.76 and 90.00 degrees. The inequivalent atoms are Li at (0.145, 0.169, 0.476), Cu at (0.052, 0.652, 0.323), Cu at (0.341, 0.198, 0.782), Cu at (0.457, 0.730, 0.922) and Pt at (0.254, 0.679, 0.625).


Compound: LiCuPt
Source: Alexandria
Functional: PBE
Structure: relaxed

The total magnetic moment is 0.0 μB/f.u. The formation enthalpy at 0 K comes out at -0.353 eV per atom. The density of states at the Fermi level is 2.59 states/eV per cell. As for the polymorph energy (0 for the lowest one): 0.0193 eV per atom. Its volume is 80.0 Å³ per cell.

The space group is P-1 (No. 2) and the conventional cell measures 4.100, 4.907 and 4.992 Å, with angles of 94.16, 114.14 and 114.27 degrees. The inequivalent atoms are Li at (0.202, 0.035, 0.369), Cu at (0.291, 0.457, 0.125), Pt at (0.000, 0.500, 0.500) and Pt at (0.500, 0.000, 0.000).


Compound: LiCuPt2
Source: Alexandria
Functional: PBE
Structure: relaxed

The total magnetic moment is 0.0 μB/f.u. The formation enthalpy at 0 K comes out at -0.331 eV per atom. The density of states at the Fermi level is 6.90 states/eV per cell. As for the polymorph energy (0 for the lowest one): 0.0751 eV per atom. Its volume is 110.9 Å³ per cell.

The space group is I4/mmm (No. 139) and the conventional cell measures 3.871, 3.871 and 7.403 Å, with angles of 90.00, 90.00 and 90.00 degrees. The inequivalent atoms are Li at (0.000, 0.000, 0.000), Cu at (0.000, 0.000, 0.500) and Pt at (0.000, 0.500, 0.250).


Compound: Li6CuPt
Source: Alexandria
Functional: PBE
Structure: relaxed

The total magnetic moment is 0.0 μB/f.u. The formation enthalpy at 0 K comes out at -0.208 eV per atom. The density of states at the Fermi level is 3.79 states/eV per cell. As for the polymorph energy (0 for the lowest one): 0.0000 eV per atom. Its volume is 117.7 Å³ per cell.

The space group is Pmm2 (No. 25) and the conventional cell measures 4.470, 5.647 and 4.661 Å, with angles of 90.00, 90.00 and 90.00 degrees. The inequivalent atoms are Li at (0.000, 0.000, 0.000), Li at (0.000, 0.244, 0.465), Li at (0.500, 0.240, 0.837), Li at (0.500, 0.500, 0.319), Cu at (0.000, 0.500, 0.955) and Pt at (0.500, 0.000, 0.342).


Compound: Li14CuPt
Source: Alexandria
Functional: PBE
Structure: relaxed

The total magnetic moment is 0.0 μB/f.u. The formation enthalpy at 0 K comes out at -0.076 eV per atom. The density of states at the Fermi level is 14.45 states/eV per cell. Its volume is 542.3 Å³ per cell.

The space group is Amm2 (No. 38) and the conventional cell measures 9.373, 5.546 and 10.432 Å, with angles of 90.00, 90.00 and 90.00 degrees. The inequivalent atoms are Li at (0.000, 0.000, 0.000), Li at (0.000, 0.000, 0.499), Li at (0.000, 0.249, 0.746), Li at (0.257, 0.000, 0.840), Li at (0.261, 0.000, 0.339), Li at (0.280, 0.244, 0.103), Li at (0.500, 0.248, 0.433), Cu at (0.500, 0.000, 0.698) and Pt at (0.500, 0.000, 0.200).


Compound: LiCu5Pt2
Source: Alexandria
Functional: PBE
Structure: relaxed

The total magnetic moment is 0.0 μB/f.u. The formation enthalpy at 0 K comes out at -0.218 eV per atom. The density of states at the Fermi level is 6.09 states/eV per cell. Its volume is 206.1 Å³ per cell.

The space group is Pbam (No. 55) and the conventional cell measures 5.255, 10.526 and 3.726 Å, with angles of 90.00, 90.00 and 90.00 degrees. The inequivalent atoms are Li at (0.000, 0.000, 0.000), Cu at (0.000, 0.500, 0.000), Cu at (0.004, 0.251, 0.000), Cu at (0.246, 0.627, 0.500) and Pt at (0.245, 0.878, 0.500).


Compound: LiCuPt
Source: Alexandria
Functional: PBE
Structure: relaxed

The total magnetic moment is 0.0 μB/f.u. The formation enthalpy at 0 K comes out at -0.329 eV per atom. The density of states at the Fermi level is 1.44 states/eV per cell. As for the polymorph energy (0 for the lowest one): 0.0440 eV per atom. Its volume is 39.7 Å³ per cell.

The space group is P3m1 (No. 156) and the conventional cell measures 4.1324, 4.1324 and 2.6832 Å, with angles of 90.00, 90.00 and 120.00 degrees. The inequivalent atoms are Li at (0.0000, 0.0000, 0.0000), Cu at (0.3333, 0.6667, 0.8723) and Pt at (0.6667, 0.3333, 0.4197).


Compound: Li15Cu2Pt2
Source: Alexandria
Functional: PBE
Structure: relaxed

The total magnetic moment is 0.0 μB/f.u. The formation enthalpy at 0 K comes out at -0.038 eV per atom. The density of states at the Fermi level is 16.87 states/eV per cell. Its volume is 878.2 Å³ per cell.

The space group is R-3m (No. 166, hexagonal axes) and the conventional cell measures 8.1680, 8.1680 and 15.1989 Å, with angles of 90.00, 90.00 and 120.00 degrees. The inequivalent atoms are Li at (0.0000, 0.2742, 0.0000), Li at (0.0000, 0.5000, 0.5000), Li at (0.0816, 0.5408, 0.1024), Cu at (0.0000, 0.0000, 0.2752) and Pt at (0.0000, 0.0000, 0.0990).


Compound: LiCu5Pt4
Source: Alexandria
Functional: PBE
Structure: relaxed

The total magnetic moment is 0.0 μB/f.u. The formation enthalpy at 0 K comes out at -0.209 eV per atom. The density of states at the Fermi level is 6.10 states/eV per cell. Its volume is 135.4 Å³ per cell.

The space group is P-1 (No. 2) and the conventional cell measures 4.545, 5.323 and 6.086 Å, with angles of 76.82, 74.53 and 75.59 degrees. The inequivalent atoms are Li at (0.000, 0.000, 0.000), Cu at (0.000, 0.500, 0.000), Cu at (0.203, 0.799, 0.597), Cu at (0.407, 0.596, 0.195), Pt at (0.196, 0.304, 0.608) and Pt at (0.392, 0.106, 0.196).